Record 1
The following is a PBE calculation of a relaxed HfSc2I2 crystal, from Alexandria.

Formation energy from raw total energies = 399 meV per atom
Total DFT energy (no corrections) = -4.74 eV/atom
Magnetization = 0.0 μB/f.u.

abc: 4.5417 4.5417 7.4388
angles: 72.23 72.23 90.00
With the nearest neighbours (Å) after each atom.
Sites, in units of the cell vectors:
Hf (0.0000, 0.0000, 0.0000)  8 I 3.60
Sc (0.7500, 0.2500, 0.5000)  4 I 2.85
I (0.6216, 0.6216, 0.7568)  4 Sc 2.85
Sc (0.2500, 0.7500, 0.5000)  4 I 2.85
I (0.3784, 0.3784, 0.2432)  4 Sc 2.85

***

Record 2
The following is a PBE calculation of a relaxed HfScSiI2 crystal, from Alexandria.

Formation energy from raw total energies = 418 meV per atom
Total DFT energy (no corrections) = -4.54 eV/atom
Magnetization = 0.9 μB/f.u.

abc: 5.5679 5.2184 5.5679
angles: 90.00 90.00 90.00
With the nearest neighbours (Å) after each atom.
Sites, in units of the cell vectors:
Sc (0.5000, 0.5000, 0.5000)  8 I 3.82, 4 Si 3.94
I (0.5000, 0.0000, 0.0000)  2 Hf 2.78
Hf (0.0000, 0.0000, 0.0000)  2 Si 2.61, 4 I 2.78
I (0.0000, 0.0000, 0.5000)  2 Hf 2.78
Si (0.0000, 0.5000, 0.0000)  2 Hf 2.61

***

Record 3
The following is a PBE calculation of a relaxed HfScTeI2 crystal, from Alexandria.

Formation energy from raw total energies = 30 meV per atom
Total DFT energy (no corrections) = -4.48 eV/atom
Magnetization = 1.9 μB/f.u.

abc: 5.6034 5.6034 5.6436
angles: 90.00 90.00 90.00
With the nearest neighbours (Å) after each atom.
Sites, in units of the cell vectors:
Sc (0.5000, 0.5000, 0.5000)  4 Te 3.96, 8 I 3.98
Hf (0.0000, 0.0000, 0.0000)  4 I 2.80, 2 Te 2.82
I (0.5000, 0.0000, 0.0000)  2 Hf 2.80
I (0.0000, 0.5000, 0.0000)  2 Hf 2.80
Te (0.0000, 0.0000, 0.5000)  2 Hf 2.82

***

> Among the records above, which one has the lowest magnetization?

HfSc2I2